No. 1
The following is a PBE-GGA calculation of a relaxed Ho3GeRh8 crystal, from the Alexandria database.

abc: 5.3012 5.3012 25.9051
angles: 90.00 90.00 120.00
Closest atoms and distances in Å follow each position.
Space group R3m (No. 160, hexagonal axes)
Unique sites:
Ho 0.0000 0.0000 0.0000  12 Rh 3.09-3.11, 4 Ho 3.37-3.38
Ho 0.0000 0.0000 0.1303  12 Rh 2.99-3.17, 3 Ge 3.10
Ho 0.0000 0.0000 0.6126  9 Rh 2.95-3.18
Ge 0.0000 0.0000 0.4815  3 Rh 2.69
Rh 0.0000 0.0000 0.3129  6 Rh 2.65
Rh 0.0000 0.0000 0.8142  6 Rh 2.62-2.67
Rh 0.0007 0.5004 0.5628  6 Rh 2.62-2.66
Rh 0.1674 0.3348 0.3962  6 Rh 2.64-2.67, 1 Ge 2.69

Computed properties:
The calculation puts the density of states at the Fermi level at 0.6229 states/eV/atom. The calculation puts the size of the total moment at 0.0 μB/cell. The formation energy comes out at -587 meV/atom. The value obtained for the total energy is -252.627 eV per cell.



No. 2
The following is a PBE-GGA calculation of a relaxed GeBP3 crystal, from the Alexandria database.

abc: 4.1793 4.1793 4.1793
angles: 90.00 90.00 90.00
Closest atoms and distances in Å follow each position.
Space group Pm-3m (No. 221)
Unique sites:
Ge 0.0000 0.0000 0.0000  12 P 2.96
B 0.5000 0.5000 0.5000  6 P 2.09
P 0.0000 0.5000 0.5000  2 B 2.09

Computed properties:
The calculation puts the density of states at the Fermi level at 0.7940 states/eV/atom. The distance to the lowest polymorph of the same formula is 0 meV per atom. The calculation puts the size of the total moment at 0.0 μB/cell. The formation energy comes out at 816 meV/atom. The value obtained for the total energy is -23.443 eV per cell.



No. 3
The following is a PBE-GGA calculation of a relaxed AsAuBr2 crystal, from the Alexandria database.

abc: 3.6927 6.7919 9.2520
angles: 90.00 90.00 90.00
Closest atoms and distances in Å follow each position.
Space group Cmm2 (No. 35)
Unique sites:
As 0.0000 0.0000 0.0000  2 Au 2.51
Au 0.0000 0.5000 0.1833  2 As 2.51, 2 Br 2.61
Br 0.0000 0.0000 0.3830  2 Au 2.61
Br 0.0000 0.5000 0.7696  2 As 2.82

Computed properties:
The calculation puts the density of states at the Fermi level at 0.5391 states/eV/atom. The distance to the lowest polymorph of the same formula is 308 meV per atom. The calculation puts the size of the total moment at 0.0 μB/cell. For the uncorrected formation energy, the calculation gives 9 kJ/mol of atoms. The value obtained for the total energy is -21.834 eV per cell.



No. 4
The following is a PBE-GGA calculation of a relaxed NdErGeS crystal, from the Alexandria database.

abc: 4.1009 4.1009 20.1937
angles: 90.00 90.00 120.00
Closest atoms and distances in Å follow each position.
Space group R3m (No. 160, hexagonal axes)
Unique sites:
Nd 0.0000 0.0000 0.0000  3 Ge 2.95, 3 S 2.96
Er 0.0000 0.0000 0.4998  3 S 2.85, 3 Ge 2.87
Ge 0.0000 0.0000 0.2464  3 Er 2.87, 3 Nd 2.95
S 0.0000 0.0000 0.7546  3 Er 2.85, 3 Nd 2.96

Computed properties:
The calculation puts the density of states at the Fermi level at 0.3724 states/eV/atom. The calculation puts the size of the total moment at 0.0 μB/cell. For the uncorrected formation energy, the calculation gives -138 kJ/mol of atoms. The value obtained for the total energy is -71.362 eV per cell.



No. 5
The following is a PBE-GGA calculation of a relaxed AlHgSb2 crystal, from the Alexandria database.

abc: 3.5223 4.3399 6.8638
angles: 90.00 90.00 90.00
Closest atoms and distances in Å follow each position.
Space group Pmm2 (No. 25)
Unique sites:
Al 0.0000 0.0000 0.0000  5 Sb 2.92-3.01
Hg 0.5000 0.5000 0.2670  5 Sb 2.96-3.00
Sb 0.0000 0.0000 0.4248  1 Al 2.92, 4 Hg 3.00
Sb 0.5000 0.5000 0.8353  1 Hg 2.96, 4 Al 3.01

Computed properties:
The calculation puts the density of states at the Fermi level at 0.4440 states/eV/atom. The distance to the lowest polymorph of the same formula is 133 meV per atom. The calculation puts the size of the total moment at 0.0 μB/cell. For the uncorrected formation energy, the calculation gives 19 kJ/mol of atoms. The value obtained for the total energy is -11.519 eV per cell.



No. 6
The following is a PBE-GGA calculation of a relaxed Sr2GaSn4Hg3 crystal, from the Alexandria database.

abc: 4.9237 4.9237 11.9735
angles: 90.00 90.00 90.00
Closest atoms and distances in Å follow each position.
Space group P-4m2 (No. 115)
Unique sites:
Sr 0.0000 0.5000 0.2440  6 Hg 3.74-3.82, 8 Sn 3.76-3.93, 2 Ga 3.82
Ga 0.5000 0.5000 0.0000  4 Sn 2.88
Sn 0.0000 0.0000 0.5000  4 Hg 2.99
Sn 0.0000 0.5000 0.8750  3 Hg 2.79-2.88, 2 Ga 2.88
Sn 0.5000 0.5000 0.5000  4 Hg 2.99
Hg 0.0000 0.0000 0.0000  4 Sn 2.88
Hg 0.0000 0.5000 0.6420  5 Sn 2.79-2.99

Computed properties:
The calculation puts the density of states at the Fermi level at 0.2376 states/eV/atom. The calculation puts the size of the total moment at 0.0 μB/cell. The formation energy comes out at -295 meV/atom. The value obtained for the total energy is -26.257 eV per cell.



No. 7
The following is a PBE-GGA calculation of a relaxed ReSbTe2C crystal, from the Alexandria database.

abc: 5.2122 5.2122 5.2127
angles: 90.00 90.00 90.00
Closest atoms and distances in Å follow each position.
Space group P4/mmm (No. 123)
Unique sites:
Re 0.0000 0.0000 0.0000  4 Te 2.61, 2 Sb 2.61
Sb 0.0000 0.0000 0.5000  2 Re 2.61
Te 0.0000 0.5000 0.0000  2 Re 2.61
C 0.5000 0.5000 0.5000  4 Sb 3.69, 8 Te 3.69

Computed properties:
The calculation puts the density of states at the Fermi level at 1.2529 states/eV/atom. The distance to the lowest polymorph of the same formula is 405 meV per atom. The calculation puts the size of the total moment at 1.3 μB/cell. For the uncorrected formation energy, the calculation gives 188 kJ/mol of atoms. The value obtained for the total energy is -22.343 eV per cell.



No. 8
The following is a PBE-GGA calculation of a relaxed ZrSc2Hg crystal, from the Alexandria database.

abc: 3.3345 3.3345 29.3455
angles: 90.00 90.00 120.00
Closest atoms and distances in Å follow each position.
Space group R3m (No. 160, hexagonal axes)
Unique sites:
Zr 0.0000 0.0000 0.0000  6 Sc 3.16, 6 Zr 3.33
Sc 0.0000 0.0000 0.5813  3 Hg 3.07, 3 Zr 3.16, 6 Sc 3.33
Sc 0.0000 0.0000 0.7522  3 Hg 3.06, 3 Zr 3.16, 6 Sc 3.33
Hg 0.0000 0.0000 0.1665  6 Sc 3.06-3.07, 6 Hg 3.33

Computed properties:
The calculation puts the density of states at the Fermi level at 1.2656 states/eV/atom. The calculation puts the size of the total moment at 0.0 μB/cell. The formation energy comes out at -138 meV/atom. The value obtained for the total energy is -66.199 eV per cell.



No. 9
The following is a PBE-GGA calculation of a relaxed MgTe2Pd crystal, from the Alexandria database.

abc: 4.0994 4.0994 25.0268
angles: 90.00 90.00 120.00
Closest atoms and distances in Å follow each position.
Space group R-3m (No. 166, hexagonal axes)
Unique sites:
Mg 0.0000 0.0000 0.0000  2 Te 2.77
Te 0.0000 0.0000 0.1106  3 Pd 2.75, 1 Mg 2.77
Pd 0.0000 0.0000 0.5000  6 Te 2.75

Computed properties:
The calculation puts the density of states at the Fermi level at 0.4969 states/eV/atom. The calculation puts the size of the total moment at 0.0 μB/cell. For the uncorrected formation energy, the calculation gives -15 kJ/mol of atoms. The value obtained for the total energy is -41.108 eV per cell.



No. 10
The following is a PBE-GGA calculation of a relaxed Eu3Al5O12 crystal, from the Alexandria database.

abc: 12.2747 12.2747 12.2747
angles: 90.00 90.00 90.00
Closest atoms and distances in Å follow each position.
Space group Ia-3d (No. 230)
Unique sites:
Eu 0.0000 0.2500 0.1250  8 O 2.38-2.53
Al 0.0000 0.0000 0.0000  6 O 1.95
Al 0.0000 0.2500 0.3750  4 O 1.79
O 0.0325 0.0476 0.6479  2 Al 1.79-1.95

Computed properties:
The calculation puts the density of states at the Fermi level at 0.9284 states/eV/atom. The calculation puts the size of the total moment at 144.0 μB/cell. For the uncorrected formation energy, the calculation gives -283 kJ/mol of atoms. The value obtained for the total energy is -1341.095 eV per cell.